Record 1
K2Np3GaO12 after structural relaxation, computed with PBE.

```
K2Np3GaO12
1.0
-6.643 -1.945 2.692
0.041 -4.002 6.256
-2.201 3.520 6.158
O K Np Ga
12 2 3 1
direct
0.323 0.323 0.935 O
0.693 0.060 0.060 O
0.307 0.940 0.940 O
0.940 0.307 0.940 O
0.060 0.060 0.693 O
0.935 0.323 0.323 O
0.323 0.935 0.323 O
0.677 0.677 0.065 O
0.677 0.065 0.677 O
0.940 0.940 0.307 O
0.060 0.693 0.060 O
0.065 0.677 0.677 O
0.373 0.373 0.373 K
0.627 0.627 0.627 K
0.500 0.000 0.000 Np
0.000 0.000 0.500 Np
0.000 0.500 0.000 Np
0.000 0.000 0.000 Ga
```

Values from the calculation:
Final energy, eV/atom: -8.207
Crystal system: trigonal
Space-group type: R-3m (166)
ρ, g cm⁻³: 5.56

Record 2
K3NpGa2O8 after structural relaxation, computed with PBE.

```
K3NpGa2O8
1.0
-0.543 5.603 -1.681
0.210 -4.269 -4.031
-7.739 -0.661 0.298
O Np K Ga
8 1 3 2
direct
0.670 0.835 0.347 O
0.165 0.835 0.347 O
0.330 0.165 0.653 O
0.835 0.165 0.653 O
0.667 0.333 0.988 O
0.165 0.330 0.347 O
0.835 0.670 0.653 O
0.333 0.667 0.012 O
0.000 0.000 0.500 Np
0.667 0.333 0.311 K
0.333 0.667 0.689 K
0.000 0.000 0.000 K
0.333 0.667 0.239 Ga
0.667 0.333 0.761 Ga
```

Values from the calculation:
Final energy, eV/atom: -6.389
Crystal system: trigonal
Space-group type: P-3m1 (164)
ρ, g cm⁻³: 4.44

Record 3
K4Np3GaS8 after structural relaxation, computed with PBE.

```
K4Np3GaS8
1.0
-4.376 0.728 6.986
3.824 -7.110 3.137
4.775 6.255 -2.563
K S Np Ga
4 8 3 1
direct
0.000 0.000 0.000 K
0.000 0.000 0.500 K
0.500 0.000 0.500 K
0.500 0.000 0.000 K
0.241 0.695 0.954 S
0.759 0.305 0.046 S
0.734 0.701 0.467 S
0.287 0.305 0.046 S
0.759 0.305 0.518 S
0.713 0.695 0.954 S
0.266 0.299 0.533 S
0.241 0.695 0.482 S
0.500 0.500 0.000 Np
0.000 0.500 0.500 Np
0.500 0.500 0.500 Np
0.000 0.500 0.000 Ga
```

Values from the calculation:
Final energy, eV/atom: -6.206
Crystal system: trigonal
Space-group type: R-3m (166)
ρ, g cm⁻³: 4.63